! Zr5Si4 (meta-GGA SCAN, PBEsol geometry); values from VASP
! M_tot in μB per formula unit: 0.00
! Uncorrected formation energy in eV per atom: -0.84
! Space group: P6_3/mcm (193)
! Theoretical density in g cm⁻³: 5.878
! Energy above the lowest structure with this stoichiometry in meV/atom: 89
! V in Å³/atom: 17.8
&SYSTEM
  ibrav = 0, nat = 18, ntyp = 2
/
ATOMIC_SPECIES
Zr 91.22 Zr.upf
Si 28.09 Si.upf
CELL_PARAMETERS angstrom
-4.940 -2.586 -0.316
3.051 -5.154 -5.525
0.437 -1.805 7.934
ATOMIC_POSITIONS crystal
Zr 0.750 0.271 0.271
Si 0.000 0.000 0.000
Si 0.250 0.609 0.000
Zr 0.750 0.729 0.000
Si 0.250 0.391 0.391
Si 0.750 0.391 0.000
Si 0.500 0.000 0.000
Zr 0.250 0.000 0.271
Si 0.750 0.609 0.609
Zr 0.500 0.667 0.333
Zr 0.750 0.000 0.729
Zr 0.250 0.729 0.729
Zr 0.500 0.333 0.667
Si 0.750 0.000 0.391
Zr 0.000 0.667 0.333
Zr 0.000 0.333 0.667
Zr 0.250 0.271 0.000
Si 0.250 0.000 0.609